[1]
## HfBi2 (PBE-GGA)

Data for a relaxed structure of HfBi2.

Properties
E_tot (eV per atom): -6.143
Symmetry: Pnnm, No. 58
M_tot (μB per formula unit): 0.0

Cell lengths 15.7035, 10.2185, 3.9964 Å; angles 90.00, 90.00, 90.00 degrees
With the nearest neighbours (Å) after each atom.
Atoms (fractional coordinates):
Bi  0.0566  0.1238  0.0000  3 Hf 3.08-3.16, 3 Bi 3.09-3.21
Bi  0.6996  0.2648  0.0000  4 Hf 3.05-3.23, 4 Bi 3.21-3.30
Bi  0.3510  0.3450  0.0000  3 Hf 3.07-3.10, 2 Bi 3.30
Bi  0.8926  0.4861  0.0000  6 Hf 3.05-3.12, 1 Bi 3.38
Bi  0.1074  0.5139  0.0000  6 Hf 3.05-3.12, 1 Bi 3.38
Bi  0.6490  0.6550  0.0000  3 Hf 3.07-3.10, 2 Bi 3.30
Bi  0.3004  0.7352  0.0000  4 Hf 3.05-3.23, 4 Bi 3.21-3.30
Bi  0.9434  0.8762  0.0000  3 Hf 3.08-3.16, 3 Bi 3.09-3.21
Bi  0.3926  0.0139  0.5000  6 Hf 3.05-3.12, 1 Bi 3.38
Bi  0.8510  0.1550  0.5000  3 Hf 3.07-3.10, 2 Bi 3.30
Bi  0.1996  0.2352  0.5000  4 Hf 3.05-3.23, 4 Bi 3.21-3.30
Bi  0.5566  0.3762  0.5000  3 Hf 3.08-3.16, 3 Bi 3.09-3.21
Bi  0.4434  0.6238  0.5000  3 Hf 3.08-3.16, 3 Bi 3.09-3.21
Bi  0.8004  0.7648  0.5000  4 Hf 3.05-3.23, 4 Bi 3.21-3.30
Bi  0.1490  0.8450  0.5000  3 Hf 3.07-3.10, 2 Bi 3.30
Bi  0.6074  0.9861  0.5000  6 Hf 3.05-3.12, 1 Bi 3.38
Hf  0.2464  0.0217  0.0000  8 Bi 3.05-3.16
Hf  0.5055  0.1611  0.0000  8 Bi 3.07-3.23, 1 Hf 3.30
Hf  0.4945  0.8389  0.0000  8 Bi 3.07-3.23, 1 Hf 3.30
Hf  0.7536  0.9783  0.0000  8 Bi 3.05-3.16
Hf  0.0055  0.3389  0.5000  8 Bi 3.07-3.23, 1 Hf 3.30
Hf  0.7464  0.4783  0.5000  8 Bi 3.05-3.16
Hf  0.2536  0.5217  0.5000  8 Bi 3.05-3.16
Hf  0.9945  0.6611  0.5000  8 Bi 3.07-3.23, 1 Hf 3.30


[2]
## Hf4AsC2S (PBE-GGA)

Data for a relaxed structure of Hf4AsC2S.

Properties
E_tot (eV per atom): -9.541
Symmetry: P-6m2, No. 187
M_tot (μB per formula unit): 0.0

Cell lengths 3.3988, 3.3988, 12.3169 Å; angles 90.00, 90.00, 120.00 degrees
With the nearest neighbours (Å) after each atom.
Atoms (fractional coordinates):
As  0.3333  0.6667  0.0000  6 Hf 2.74
C  0.0000  0.0000  0.2556  6 Hf 2.30-2.32
C  0.0000  0.0000  0.7444  6 Hf 2.30-2.32
Hf  0.6667  0.3333  0.1558  3 C 2.32
Hf  0.3333  0.6667  0.3533  3 C 2.30
Hf  0.3333  0.6667  0.6467  3 C 2.30
Hf  0.6667  0.3333  0.8442  3 C 2.32
S  0.6667  0.3333  0.5000  6 Hf 2.67


[3]
## Hf3SbN2 (PBE-GGA)

Data for a relaxed structure of Hf3SbN2.

Properties
E_tot (eV per atom): -9.640
Symmetry: P6_3/mmc, No. 194
M_tot (μB per formula unit): 0.0

Cell lengths 3.2497, 3.2497, 19.5174 Å; angles 90.00, 90.00, 120.00 degrees
With the nearest neighbours (Å) after each atom.
Atoms (fractional coordinates):
Hf  0.0000  0.0000  0.0000  6 N 2.27
Hf  0.6667  0.3333  0.1319  3 N 2.28
Hf  0.6667  0.3333  0.3681  3 N 2.28
Hf  0.0000  0.0000  0.5000  6 N 2.27
Hf  0.3333  0.6667  0.6319  3 N 2.28
Hf  0.3333  0.6667  0.8681  3 N 2.28
N  0.3333  0.6667  0.0653  6 Hf 2.27-2.28
N  0.3333  0.6667  0.4347  6 Hf 2.27-2.28
N  0.6667  0.3333  0.5653  6 Hf 2.27-2.28
N  0.6667  0.3333  0.9347  6 Hf 2.27-2.28
Sb  0.0000  0.0000  0.2500  6 Hf 2.97, 6 Sb 3.25
Sb  0.0000  0.0000  0.7500  6 Hf 2.97, 6 Sb 3.25


[4]
## LiFeNiPb (PBE-GGA)

Data for a relaxed structure of LiFeNiPb.

Properties
Symmetry: F-43m, No. 216
M_tot (μB per formula unit): 2.8
Energy above the lowest structure with this stoichiometry (eV/atom): 0.049

Cell lengths 4.2829, 4.2829, 4.2829 Å; angles 60.00, 60.00, 60.00 degrees
With the nearest neighbours (Å) after each atom.
Atoms (fractional coordinates):
Fe  0.5000  0.5000  0.5000  4 Pb 2.62, 4 Ni 2.62
Li  0.0000  0.0000  0.0000  4 Ni 2.62, 4 Pb 2.62
Ni  0.7500  0.7500  0.7500  4 Li 2.62, 4 Fe 2.62
Pb  0.2500  0.2500  0.2500  4 Fe 2.62, 4 Li 2.62


[5]
## DyY2Sc3CuTe2 (PBE-GGA)

Data for a relaxed structure of DyY2Sc3CuTe2.

Properties
E_tot (eV per atom): -5.845
Symmetry: Amm2, No. 38
M_tot (μB per formula unit): 0.1

Cell lengths 3.9718, 8.0095, 8.0095 Å; angles 120.12, 90.00, 90.00 degrees
With the nearest neighbours (Å) after each atom.
Atoms (fractional coordinates):
Cu  0.0000  0.9991  0.9991  6 Sc 2.74-2.75
Dy  0.0000  0.6051  0.6051  1 Cu 3.15, 4 Te 3.16, 4 Sc 3.39
Sc  0.5000  0.2367  0.2367  2 Cu 2.75
Sc  0.5000  0.9992  0.7635  2 Cu 2.74
Sc  0.5000  0.7635  0.9992  2 Cu 2.74
Te  0.5000  0.6666  0.3340  3 Sc 3.12-3.14, 2 Dy 3.16, 4 Y 3.16
Te  0.5000  0.3340  0.6666  3 Sc 3.12-3.14, 2 Dy 3.16, 4 Y 3.16
Y  0.0000  0.3958  0.0000  4 Te 3.16, 1 Cu 3.17, 4 Sc 3.40
Y  0.0000  0.0000  0.3958  4 Te 3.16, 1 Cu 3.17, 4 Sc 3.40


[6]
## Pu3Mg2 (PBE-GGA)

Data for a relaxed structure of Pu3Mg2.

Properties
E_tot (eV per atom): -8.675
Symmetry: R-3c, No. 167
M_tot (μB per formula unit): 19.3

Cell lengths 8.2112, 8.2112, 6.9280 Å; angles 126.34, 53.66, 120.00 degrees
With the nearest neighbours (Å) after each atom.
Atoms (fractional coordinates):
Mg  0.5889  0.4111  0.2332  1 Mg 2.70
Mg  0.9111  0.0889  0.2668  1 Mg 2.70
Mg  0.0889  0.9111  0.7332  1 Mg 2.70
Mg  0.4111  0.5889  0.7668  1 Mg 2.70
Pu  0.2500  0.9990  0.2500  4 Mg 3.14-3.18, 2 Pu 3.46
Pu  0.4990  0.7500  0.2500  4 Mg 3.14-3.18, 2 Pu 3.46
Pu  0.0010  0.5010  0.2500  4 Mg 3.14-3.18, 2 Pu 3.46
Pu  0.9990  0.4990  0.7500  4 Mg 3.14-3.18, 2 Pu 3.46
Pu  0.5010  0.2500  0.7500  4 Mg 3.14-3.18, 2 Pu 3.46
Pu  0.7500  0.0010  0.7500  4 Mg 3.14-3.18, 2 Pu 3.46


[7]
## ScCu5Ge2 (PBE-GGA)

Data for a relaxed structure of ScCu5Ge2.

Properties
E_tot (eV per atom): -4.400
Symmetry: P4/mmm, No. 123
M_tot (μB per formula unit): 0.0

Cell lengths 4.1277, 4.1277, 6.5255 Å; angles 90.00, 90.00, 90.00 degrees
With the nearest neighbours (Å) after each atom.
Atoms (fractional coordinates):
Cu  0.5000  0.0000  0.2779  4 Ge 2.52-2.75, 2 Cu 2.52, 2 Sc 2.75
Cu  0.0000  0.5000  0.2779  4 Ge 2.52-2.75, 2 Cu 2.52, 2 Sc 2.75
Cu  0.0000  0.0000  0.5000  8 Cu 2.52
Cu  0.5000  0.0000  0.7221  2 Cu 2.52, 4 Ge 2.52-2.75, 2 Sc 2.75
Cu  0.0000  0.5000  0.7221  4 Ge 2.52-2.75, 2 Cu 2.52, 2 Sc 2.75
Ge  0.0000  0.0000  0.0000  8 Cu 2.75, 4 Sc 2.92
Ge  0.5000  0.5000  0.5000  8 Cu 2.52
Sc  0.5000  0.5000  0.0000  8 Cu 2.75, 4 Ge 2.92


[8]
## NaHoZnSe3 (PBE-GGA)

Data for a relaxed structure of NaHoZnSe3.

Properties
Symmetry: Cmcm, No. 63
M_tot (μB per formula unit): 0.0
Energy above the lowest structure with this stoichiometry (eV/atom): 0.000

Cell lengths 7.1425, 7.1425, 10.8971 Å; angles 90.00, 90.00, 32.85 degrees
With the nearest neighbours (Å) after each atom.
Atoms (fractional coordinates):
Ho  0.0000  0.0000  0.0000  6 Se 2.85-2.94
Ho  0.0000  0.0000  0.5000  6 Se 2.85-2.94
Na  0.7567  0.7567  0.2500  6 Se 3.15-3.18, 2 Zn 3.53
Na  0.2433  0.2433  0.7500  6 Se 3.15-3.18, 2 Zn 3.53
Se  0.3634  0.3634  0.0683  1 Zn 2.44
Se  0.0801  0.0801  0.2500  2 Zn 2.54
Se  0.3634  0.3634  0.4317  1 Zn 2.44
Se  0.6366  0.6366  0.5683  1 Zn 2.44
Se  0.9199  0.9199  0.7500  2 Zn 2.54
Se  0.6366  0.6366  0.9317  1 Zn 2.44
Zn  0.4681  0.4681  0.2500  4 Se 2.44-2.54
Zn  0.5319  0.5319  0.7500  4 Se 2.44-2.54


[9]
## LiAg4BrCl2 (PBE-GGA)

Data for a relaxed structure of LiAg4BrCl2.

Properties
E_tot (eV per atom): -2.391
Symmetry: I-4, No. 82

Cell lengths 7.4927, 7.4927, 7.4927 Å; angles 132.40, 132.40, 69.59 degrees
With the nearest neighbours (Å) after each atom.
Atoms (fractional coordinates):
Ag  0.8838  0.3972  0.0150  1 Li 2.53, 2 Cl 2.63-2.65, 1 Br 2.74
Ag  0.6028  0.6178  0.4866  1 Li 2.53, 2 Cl 2.63-2.65, 1 Br 2.74
Ag  0.1312  0.1162  0.5134  1 Li 2.53, 2 Cl 2.63-2.65, 1 Br 2.74
Ag  0.3822  0.8688  0.9850  1 Li 2.53, 2 Cl 2.63-2.65, 1 Br 2.74
Br  0.0000  0.0000  0.0000  4 Ag 2.74
Cl  0.5000  0.5000  0.0000  4 Ag 2.65
Cl  0.7500  0.2500  0.5000  4 Ag 2.63
Li  0.2500  0.7500  0.5000  4 Ag 2.53